1.
Ta2CuP: optimized geometry, PBE.

magnetic moment = 0.00 μB per formula unit
E_form = -0.07 eV per atom

a = 3.5495 Å, b = 4.7019 Å, c = 7.5377 Å
α = 90.00°, β = 90.00°, γ = 90.00°
Last column: nearest neighbours and their distance in Å.
Fractional coordinates of all 8 atoms:
Ta1 0.0000 0.0000 0.0000  2 P 2.50
Ta2 0.0000 0.5000 0.2943  2 Cu 2.66, 6 Ta 2.84-2.95
Ta3 0.5000 0.0000 0.2943  2 Cu 2.66, 6 Ta 2.84-2.95
Ta4 0.5000 0.5000 0.0000  2 P 2.50
Cu1 0.0000 0.0000 0.5570  2 P 2.37
Cu2 0.5000 0.5000 0.5570  2 P 2.37
P1 0.0000 0.5000 0.7657  2 Cu 2.37, 2 Ta 2.50
P2 0.5000 0.0000 0.7657  2 Cu 2.37, 2 Ta 2.50

***

2.
TaCuP2: optimized geometry, PBE.

magnetic moment = 0.00 μB per formula unit
ΔE to the lowest computed polymorph = 519 meV per atom
E_form = 0.18 eV per atom

a = 2.7468 Å, b = 2.7468 Å, c = 9.3363 Å
α = 90.00°, β = 90.00°, γ = 90.00°
Last column: nearest neighbours and their distance in Å.
Fractional coordinates of all 4 atoms:
Ta1 0.0000 0.0000 0.0000  4 P 2.73, 4 Ta 2.75, 4 Cu 2.80
Cu1 0.5000 0.5000 0.2162  4 P 2.50, 4 Cu 2.75, 4 Ta 2.80
P1 0.0000 0.0000 0.3856  4 Cu 2.50, 4 P 2.75
P2 0.5000 0.5000 0.7939  4 Ta 2.73, 4 P 2.75